A plane-wave DFT calculation with PBE was carried out for a relaxed Ac2La5Y crystal.

## Properties
energy above the lowest structure with this stoichiometry	55	meV/atom
V	38.5	A^3/atom
total magnetization	0.00	μB/f.u.
energy of formation	0.07	eV/atom

Cell and atoms, written as POSCAR:
```
Ac2La5Y
1.0
3.714 0.000 0.000
0.000 7.239 0.000
0.000 0.000 22.902
Ac La Y
4 10 2
Direct
0.000 0.000 0.242
0.000 0.000 0.758
0.500 0.500 0.258
0.500 0.500 0.742
0.000 0.000 0.000
0.000 0.254 0.386
0.000 0.254 0.614
0.000 0.746 0.386
0.000 0.746 0.614
0.500 0.246 0.114
0.500 0.246 0.886
0.500 0.500 0.500
0.500 0.754 0.114
0.500 0.754 0.886
0.000 0.500 0.000
0.500 0.000 0.500
```


A plane-wave DFT calculation with PBE was carried out for a relaxed HoPuCu2O6 crystal.

## Properties
energy relative to the elements, uncorrected	-2.06	eV per atom
V	13.2	A^3/atom
total magnetization	0.98	μB/f.u.

Cell and atoms, written as POSCAR:
```
HoPuCu2O6
1.0
2.716 1.568 5.146
-2.716 1.568 5.146
0.000 -3.137 5.146
Ho Pu Cu O
1 1 2 6
Direct
0.000 0.000 0.000
0.500 0.500 0.500
0.244 0.244 0.244
0.756 0.756 0.756
0.115 0.410 0.736
0.264 0.885 0.590
0.410 0.736 0.115
0.590 0.264 0.885
0.736 0.115 0.410
0.885 0.590 0.264
```


A plane-wave DFT calculation with PBE was carried out for a relaxed TiNi14W crystal.

## Properties
V	11.4	A^3/atom
total magnetization	3.66	μB/f.u.
energy of formation	-0.13	eV/atom

Cell and atoms, written as POSCAR:
```
TiNi14W
1.0
5.067 0.000 0.000
0.000 5.067 0.000
0.000 0.000 7.092
Ti Ni W
1 14 1
Direct
0.000 0.000 0.000
0.000 0.000 0.500
0.000 0.500 0.000
0.000 0.500 0.500
0.250 0.250 0.254
0.250 0.250 0.746
0.250 0.750 0.254
0.250 0.750 0.746
0.500 0.000 0.000
0.500 0.000 0.500
0.500 0.500 0.500
0.750 0.250 0.254
0.750 0.250 0.746
0.750 0.750 0.254
0.750 0.750 0.746
0.500 0.500 0.000
```


A plane-wave DFT calculation with PBE was carried out for a relaxed Pu3In crystal.

## Properties
energy above the lowest structure with this stoichiometry	75	meV/atom
V	26.4	A^3/atom
total magnetization	17.62	μB/f.u.
energy of formation	0.07	eV/atom

Cell and atoms, written as POSCAR:
```
Pu3In
1.0
3.368 0.000 0.000
0.000 10.858 0.000
0.000 0.000 5.770
Pu In
6 2
Direct
0.000 0.000 0.000
0.000 0.247 0.665
0.000 0.753 0.665
0.500 0.253 0.165
0.500 0.500 0.500
0.500 0.747 0.165
0.000 0.500 0.998
0.500 0.000 0.498
```


A plane-wave DFT calculation with PBE was carried out for a relaxed ScFeCl crystal.

## Properties
energy relative to the elements, uncorrected	-1.02	eV per atom
V	20.5	A^3/atom
total magnetization	0.55	μB/f.u.

Cell and atoms, written as POSCAR:
```
ScFeCl
1.0
6.336 0.000 0.000
0.000 3.644 0.000
-1.952 0.000 10.669
Sc Fe Cl
4 4 4
Direct
0.055 0.000 0.180
0.445 0.500 0.820
0.555 0.500 0.180
0.945 0.000 0.820
0.162 0.500 0.986
0.338 0.000 0.014
0.662 0.000 0.986
0.838 0.500 0.014
0.231 0.000 0.668
0.269 0.500 0.332
0.731 0.500 0.668
0.769 0.000 0.332
```


A plane-wave DFT calculation with PBE was carried out for a relaxed SmTmIr2 crystal.

## Properties
energy above the lowest structure with this stoichiometry	8	meV/atom
V	20.4	A^3/atom
total magnetization	0.00	μB/f.u.
energy of formation	-0.76	eV/atom

Cell and atoms, written as POSCAR:
```
SmTmIr2
1.0
6.888 0.000 0.000
0.000 6.888 0.000
0.000 0.000 6.888
Sm Tm Ir
4 4 8
Direct
0.000 0.000 0.000
0.000 0.500 0.500
0.500 0.000 0.500
0.500 0.500 0.000
0.000 0.000 0.500
0.000 0.500 0.000
0.500 0.000 0.000
0.500 0.500 0.500
0.250 0.250 0.250
0.250 0.250 0.750
0.250 0.750 0.250
0.250 0.750 0.750
0.750 0.250 0.250
0.750 0.250 0.750
0.750 0.750 0.250
0.750 0.750 0.750
```


A plane-wave DFT calculation with PBE was carried out for a relaxed PaCd crystal.

## Properties
V	24.5	A^3/atom
total magnetization	0.00	μB/f.u.
energy of formation	0.13	eV/atom

Cell and atoms, written as POSCAR:
```
PaCd
1.0
3.603 0.000 0.000
0.000 4.013 0.000
-0.382 0.000 6.780
Pa Cd
2 2
Direct
0.195 0.250 0.092
0.805 0.750 0.908
0.269 0.250 0.609
0.731 0.750 0.391
```


A plane-wave DFT calculation with PBE was carried out for a relaxed TlPb crystal.

## Properties
V	31.1	A^3/atom
total magnetization	0.00	μB/f.u.
energy of formation	0.00	eV/atom

Cell and atoms, written as POSCAR:
```
TlPb
1.0
3.543 0.000 0.000
0.000 4.877 0.000
-0.013 0.000 7.210
Tl Pb
2 2
Direct
0.249 0.250 0.126
0.751 0.750 0.874
0.251 0.250 0.620
0.749 0.750 0.380
```


A plane-wave DFT calculation with PBE was carried out for a relaxed CaAcPd crystal.

## Properties
energy above the lowest structure with this stoichiometry	55	meV/atom
V	36.0	A^3/atom
total magnetization	0.00	μB/f.u.
energy of formation	-0.46	eV/atom

Cell and atoms, written as POSCAR:
```
CaAcPd
1.0
4.297 0.000 0.000
-2.149 3.721 0.000
0.000 0.000 6.757
Ca Ac Pd
1 1 1
Direct
0.000 0.000 0.000
0.667 0.333 0.484
0.333 0.667 0.237
```


A plane-wave DFT calculation with PBE was carried out for a relaxed Pt2RhSe6 crystal.

## Properties
energy relative to the elements, uncorrected	-0.38	eV per atom
V	23.1	A^3/atom
total magnetization	0.00	μB/f.u.

Cell and atoms, written as POSCAR:
```
Pt2RhSe6
1.0
5.618 -1.907 0.000
5.618 1.907 0.000
-5.454 0.000 9.704
Pt Rh Se
2 1 6
Direct
0.165 0.165 0.333
0.835 0.835 0.667
0.500 0.500 0.000
0.165 0.165 0.107
0.166 0.166 0.561
0.496 0.496 0.222
0.504 0.504 0.778
0.834 0.834 0.439
0.835 0.835 0.893
```


A plane-wave DFT calculation with PBE was carried out for a relaxed PuUPa2 crystal.

## Properties
energy above the lowest structure with this stoichiometry	451	meV/atom
V	23.1	A^3/atom
total magnetization	2.75	μB/f.u.
energy of formation	0.53	eV/atom

Cell and atoms, written as POSCAR:
```
PuUPa2
1.0
4.045 0.000 0.000
-2.022 3.503 0.000
0.000 0.000 19.588
Pu U Pa
3 3 6
Direct
0.000 0.000 0.000
0.333 0.667 0.667
0.667 0.333 0.333
0.000 0.000 0.831
0.333 0.667 0.498
0.667 0.333 0.164
0.000 0.000 0.432
0.000 0.000 0.604
0.333 0.667 0.098
0.333 0.667 0.270
0.667 0.333 0.765
0.667 0.333 0.937
```


A plane-wave DFT calculation with PBE was carried out for a relaxed Ta3Rh4 crystal.

## Properties
energy above the lowest structure with this stoichiometry	456	meV/atom
V	16.6	A^3/atom
total magnetization	0.00	μB/f.u.
energy of formation	0.04	eV/atom

Cell and atoms, written as POSCAR:
```
Ta3Rh4
1.0
5.219 0.000 0.000
-2.610 4.520 0.000
0.000 0.000 4.911
Ta Rh
3 4
Direct
0.000 0.500 0.000
0.500 0.000 0.000
0.500 0.500 0.000
0.000 0.000 0.262
0.000 0.000 0.738
0.333 0.667 0.500
0.667 0.333 0.500
```


A plane-wave DFT calculation with PBE was carried out for a relaxed Pr4YBi2 crystal.

## Properties
V	37.8	A^3/atom
total magnetization	0.53	μB/f.u.
energy of formation	0.16	eV/atom

Cell and atoms, written as POSCAR:
```
Pr4YBi2
1.0
5.506 0.000 0.000
0.000 5.506 0.000
0.000 0.000 17.461
Pr Y Bi
8 2 4
Direct
0.000 0.000 0.183
0.000 0.000 0.817
0.000 0.500 0.000
0.000 0.500 0.500
0.500 0.000 0.000
0.500 0.000 0.500
0.500 0.500 0.317
0.500 0.500 0.683
0.000 0.000 0.000
0.500 0.500 0.500
0.000 0.000 0.366
0.000 0.000 0.634
0.500 0.500 0.134
0.500 0.500 0.866
```


A plane-wave DFT calculation with PBE was carried out for a relaxed KRbBa2Hg crystal.

## Properties
energy above the lowest structure with this stoichiometry	10	meV/atom
V	65.6	A^3/atom
total magnetization	0.00	μB/f.u.
energy of formation	-0.09	eV/atom

Cell and atoms, written as POSCAR:
```
KRbBa2Hg
1.0
6.745 0.000 0.000
0.000 6.745 0.000
0.000 0.000 7.208
K Rb Ba Hg
1 1 2 1
Direct
0.000 0.000 0.000
0.500 0.500 0.000
0.000 0.500 0.500
0.500 0.000 0.500
0.500 0.500 0.500
```


A plane-wave DFT calculation with PBE was carried out for a relaxed NaSc2Hg crystal.

## Properties
V	25.8	A^3/atom
total magnetization	0.00	μB/f.u.
energy of formation	0.23	eV/atom

Cell and atoms, written as POSCAR:
```
NaSc2Hg
1.0
8.217 0.000 0.000
0.000 8.217 0.000
0.000 0.000 6.115
Na Sc Hg
4 8 4
Direct
0.000 0.000 0.000
0.000 0.500 0.250
0.500 0.000 0.750
0.500 0.500 0.500
0.217 0.250 0.625
0.250 0.717 0.875
0.250 0.783 0.375
0.283 0.250 0.125
0.717 0.750 0.125
0.750 0.217 0.375
0.750 0.283 0.875
0.783 0.750 0.625
0.000 0.000 0.500
0.000 0.500 0.750
0.500 0.000 0.250
0.500 0.500 0.000
```


A plane-wave DFT calculation with PBE was carried out for a relaxed Ce2PdO crystal.

## Properties
energy above the lowest structure with this stoichiometry	0	meV/atom
energy relative to the elements, uncorrected	-1.33	eV per atom
V	17.6	A^3/atom
total magnetization	0.00	μB/f.u.

Cell and atoms, written as POSCAR:
```
Ce2PdO
1.0
3.088 0.000 0.000
0.000 3.088 0.000
0.000 0.000 7.401
Ce Pd O
2 1 1
Direct
0.000 0.000 0.211
0.000 0.000 0.789
0.500 0.500 0.500
0.500 0.500 0.000
```


A plane-wave DFT calculation with PBE was carried out for a relaxed Ni2SeBr crystal.

## Properties
energy above the lowest structure with this stoichiometry	202	meV/atom
energy relative to the elements, uncorrected	0.06	eV per atom
V	20.4	A^3/atom
total magnetization	1.08	μB/f.u.

Cell and atoms, written as POSCAR:
```
Ni2SeBr
1.0
3.273 0.000 0.000
0.000 3.339 0.000
0.000 0.000 14.972
Ni Se Br
4 2 2
Direct
0.000 0.000 0.000
0.000 0.500 0.122
0.500 0.000 0.622
0.500 0.500 0.500
0.000 0.000 0.460
0.500 0.500 0.960
0.000 0.500 0.695
0.500 0.000 0.195
```


A plane-wave DFT calculation with PBE was carried out for a relaxed Pr15NdDy4 crystal.

## Properties
V	35.2	A^3/atom
total magnetization	0.00	μB/f.u.
energy of formation	0.01	eV/atom

Cell and atoms, written as POSCAR:
```
Pr15NdDy4
1.0
5.211 0.000 0.000
0.000 5.211 0.000
0.000 0.000 25.929
Pr Nd Dy
15 1 4
Direct
0.000 0.000 0.000
0.000 0.000 0.202
0.000 0.000 0.400
0.000 0.000 0.600
0.000 0.000 0.798
0.000 0.500 0.102
0.000 0.500 0.301
0.000 0.500 0.500
0.000 0.500 0.699
0.000 0.500 0.898
0.500 0.000 0.102
0.500 0.000 0.301
0.500 0.000 0.500
0.500 0.000 0.699
0.500 0.000 0.898
0.500 0.500 0.000
0.500 0.500 0.201
0.500 0.500 0.400
0.500 0.500 0.600
0.500 0.500 0.799
```


A plane-wave DFT calculation with PBE was carried out for a relaxed K3TiTl crystal.

## Properties
energy above the lowest structure with this stoichiometry	0	meV/atom
V	57.7	A^3/atom
total magnetization	3.04	μB/f.u.
energy of formation	0.94	eV/atom

Cell and atoms, written as POSCAR:
```
K3TiTl
1.0
6.606 0.000 0.000
0.000 6.606 0.000
0.000 0.000 6.606
K Ti Tl
3 1 1
Direct
0.000 0.000 0.500
0.000 0.500 0.000
0.500 0.000 0.000
0.500 0.500 0.500
0.000 0.000 0.000
```


A plane-wave DFT calculation with PBE was carried out for a relaxed ErCoSn crystal.

## Properties
V	19.6	A^3/atom
total magnetization	0.42	μB/f.u.
energy of formation	-0.26	eV/atom

Cell and atoms, written as POSCAR:
```
ErCoSn
1.0
3.248 0.000 0.000
0.000 3.248 0.000
0.000 0.000 11.149
Er Co Sn
2 2 2
Direct
0.000 0.000 0.000
0.500 0.500 0.500
0.000 0.000 0.342
0.500 0.500 0.842
0.000 0.000 0.714
0.500 0.500 0.214
```